Entry 1:
Here is a relaxed Ac4Hg2IrPt crystal from the Alexandria database. Energies are from PBE.

a = 4.3700 Å, b = 7.5884 Å, c = 8.5697 Å
α = 107.15°, β = 90.00°, γ = 90.00°
With the nearest neighbours (Å) after each atom.
Fractional coordinates of all 8 atoms:
Ac: 0.0000 0.2716 0.7968  2 Ir 3.01, 1 Pt 3.07
Hg: 0.5000 0.0000 0.5000  6 Ac 3.52-3.54
Ac: 0.5000 0.7574 0.7948  1 Ir 2.99, 2 Pt 3.06
Ac: 0.0000 0.7284 0.2032  2 Ir 3.01, 1 Pt 3.07
Ac: 0.5000 0.2426 0.2052  1 Ir 2.99, 2 Pt 3.06
Hg: 0.0000 0.5000 0.5000  6 Ac 3.47
Ir: 0.5000 0.5000 0.0000  6 Ac 2.99-3.01
Pt: 0.0000 0.0000 0.0000  6 Ac 3.06-3.07

Summary:
space-group type: No. 10
crystal system: monoclinic



Entry 2:
Here is a relaxed Ac6Hg2Ir2Pt crystal from the Alexandria database. Energies are from PBE.

a = 7.6263 Å, b = 7.6263 Å, c = 8.3417 Å
α = 98.53°, β = 98.53°, γ = 119.91°
With the nearest neighbours (Å) after each atom.
Fractional coordinates of all 11 atoms:
Ac: 0.5927 0.9368 0.2955  2 Ir 2.97-3.01, 1 Pt 3.08
Pt: 0.0000 0.0000 0.5000  6 Ac 3.04-3.08
Ac: 0.9368 0.5927 0.2955  2 Ir 2.97-3.01, 1 Pt 3.08
Ir: 0.6673 0.3327 0.5000  6 Ac 2.97-3.01
Ac: 0.2732 0.2732 0.2994  2 Ir 2.99, 1 Pt 3.04
Ir: 0.3327 0.6673 0.5000  6 Ac 2.97-3.01
Ac: 0.7268 0.7268 0.7006  2 Ir 2.99, 1 Pt 3.04
Ac: 0.0632 0.4073 0.7045  2 Ir 2.97-3.01, 1 Pt 3.08
Hg: 0.8397 0.1603 0.0000  6 Ac 3.46-3.48
Ac: 0.4073 0.0632 0.7045  2 Ir 2.97-3.01, 1 Pt 3.08
Hg: 0.1603 0.8397 0.0000  6 Ac 3.46-3.48

Summary:
space-group type: No. 12
crystal system: monoclinic



Entry 3:
Here is a relaxed Ac6HgIr2Pt crystal from the Alexandria database. Energies are from PBE.

a = 7.8184 Å, b = 7.8160 Å, c = 8.2774 Å
α = 61.81°, β = 61.80°, γ = 59.98°
With the nearest neighbours (Å) after each atom.
Fractional coordinates of all 10 atoms:
Pt: 0.3221 0.3217 0.0343  6 Ac 3.08-3.10
Ac: 0.3626 0.7411 0.7462  2 Ir 3.00-3.05, 1 Pt 3.08, 1 Hg 3.30
Ac: 0.7412 0.1501 0.7461  2 Ir 3.00-3.05, 1 Pt 3.08, 1 Hg 3.30
Ir: 0.0022 0.0026 0.9928  6 Ac 3.00-3.03
Ir: 0.5122 0.5122 0.4636  6 Ac 3.00-3.05
Ac: 0.6085 0.2512 0.2374  2 Ir 3.00-3.03, 1 Pt 3.10
Ac: 0.2512 0.9027 0.2371  2 Ir 3.00-3.03, 1 Pt 3.10
Hg: 0.8084 0.8087 0.5743  6 Ac 3.30-3.43
Ac: 0.1502 0.3628 0.7461  2 Ir 3.01-3.05, 1 Pt 3.08, 1 Hg 3.30
Ac: 0.9032 0.6085 0.2372  2 Ir 3.00-3.03, 1 Pt 3.10

Summary:
space-group type: No. 146
crystal system: trigonal



Number 1: electronic total energy -4.7218 eV per atom, total magnetic moment 0.00 μB per cell, DFT formation energy -0.73 eV/atom. Number 2: electronic total energy -5.1303 eV per atom, total magnetic moment 0.00 μB per cell, DFT formation energy -0.67 eV/atom. Number 3: electronic total energy -5.5038 eV per atom, total magnetic moment 0.00 μB per cell, DFT formation energy -0.63 eV/atom.